(1)
The following is a GGA-PBEsol calculation of an optimized crystal structure of Mg2TlIn, from Alexandria via LeMat-Bulk.

Unit cell a=3.374 b=5.206 c=5.687 alpha=100.17 beta=107.26 gamma=90.00
Fractional positions:
Tl 0.501 0.529 0.002
Mg 0.001 0.027 0.003
Mg 0.250 0.726 0.500
In 0.747 0.218 0.495

SG: Cm
E_form: -81 meV per atom

(2)
The following is a GGA-PBEsol calculation of an optimized crystal structure of KLiO2F, from Alexandria via LeMat-Bulk.

Unit cell a=3.872 b=3.872 c=4.154 alpha=90.00 beta=90.00 gamma=90.00
Fractional positions:
K 0.500 0.500 0.500
Li 0.000 0.000 0.000
O 0.000 0.500 0.000
O 0.500 0.000 0.000
F 0.000 0.000 0.500

SG: P4/mmm
Formation energy (no corrections): -942 meV per atom

(3)
The following is a GGA-PBEsol calculation of an optimized crystal structure of Li3Pr3Te2O12, from Alexandria via LeMat-Bulk.

Unit cell a=10.923 b=10.923 c=10.923 alpha=109.47 beta=109.47 gamma=109.47
Fractional positions:
Li 0.750 0.125 0.375
Li 0.250 0.875 0.625
Li 0.250 0.375 0.125
Li 0.625 0.250 0.875
Li 0.375 0.750 0.125
Li 0.750 0.625 0.875
Li 0.875 0.750 0.625
Li 0.125 0.250 0.375
Li 0.375 0.625 0.750
Li 0.625 0.375 0.250
Li 0.125 0.875 0.250
Li 0.875 0.125 0.750
Pr 0.750 0.875 0.125
Pr 0.250 0.125 0.875
Pr 0.250 0.625 0.375
Pr 0.875 0.250 0.125
Pr 0.625 0.750 0.375
Pr 0.750 0.375 0.625
Pr 0.125 0.750 0.875
Pr 0.375 0.250 0.625
Pr 0.625 0.875 0.750
Pr 0.375 0.125 0.250
Pr 0.875 0.625 0.250
Pr 0.125 0.375 0.750
Te 0.000 0.000 0.000
Te 0.500 0.000 0.500
Te 0.000 0.500 0.500
Te 0.500 0.500 0.500
Te 0.500 0.500 0.000
Te 0.500 0.000 0.000
Te 0.000 0.500 0.000
Te 0.000 0.000 0.500
O 0.522 0.829 0.907
O 0.478 0.171 0.093
O 0.422 0.616 0.593
O 0.078 0.671 0.193
O 0.693 0.078 0.171
O 0.671 0.978 0.593
O 0.578 0.384 0.407
O 0.922 0.329 0.807
O 0.307 0.922 0.829
O 0.329 0.022 0.407
O 0.978 0.884 0.307
O 0.807 0.978 0.384
O 0.884 0.078 0.907
O 0.022 0.116 0.693
O 0.193 0.022 0.616
O 0.116 0.922 0.093
O 0.407 0.522 0.329
O 0.829 0.422 0.307
O 0.593 0.478 0.671
O 0.171 0.578 0.693
O 0.093 0.422 0.116
O 0.616 0.522 0.193
O 0.907 0.578 0.884
O 0.384 0.478 0.807
O 0.616 0.093 0.922
O 0.422 0.807 0.329
O 0.384 0.907 0.078
O 0.578 0.193 0.671
O 0.884 0.807 0.478
O 0.978 0.093 0.171
O 0.116 0.193 0.522
O 0.022 0.907 0.829
O 0.671 0.693 0.578
O 0.078 0.407 0.384
O 0.329 0.307 0.422
O 0.922 0.593 0.616
O 0.829 0.407 0.022
O 0.522 0.693 0.116
O 0.171 0.593 0.978
O 0.478 0.307 0.884
O 0.693 0.616 0.022
O 0.307 0.384 0.978
O 0.807 0.829 0.922
O 0.193 0.171 0.078
O 0.093 0.671 0.478
O 0.907 0.329 0.522
O 0.407 0.884 0.578
O 0.593 0.116 0.422

SG: Ia-3d
Formation energy (no corrections): -2331 meV per atom

(4)
The following is a GGA-PBEsol calculation of an optimized crystal structure of SrSiNi2, from Alexandria via LeMat-Bulk.

Unit cell a=3.967 b=3.967 c=5.857 alpha=70.21 beta=70.21 gamma=60.00
Fractional positions:
Sr 0.244 0.244 0.269
Si 0.431 0.431 0.707
Ni 0.058 0.058 0.826
Ni 0.767 0.767 0.698

SG: R3m
Formation energy (no corrections): -426 meV per atom

(5)
The following is a GGA-PBEsol calculation of an optimized crystal structure of CdAgPb, from Alexandria via LeMat-Bulk.

Unit cell a=4.691 b=4.691 c=4.691 alpha=60.00 beta=60.00 gamma=60.00
Fractional positions:
Pb 0.500 0.500 0.500
Ag 0.250 0.250 0.250
Cd 0.000 0.000 0.000

SG: F-43m
E_form: 75 meV per atom

(6)
The following is a GGA-PBEsol calculation of an optimized crystal structure of MgMo2Br, from Alexandria via LeMat-Bulk.

Unit cell a=2.897 b=5.177 c=5.224 alpha=119.70 beta=90.00 gamma=90.00
Fractional positions:
Br 0.500 0.000 0.000
Mg 0.500 0.500 0.000
Mo 0.000 0.500 0.500
Mo 0.000 0.000 0.500

SG: Cmmm
Formation energy (no corrections): 846 meV per atom
E above lowest polymorph: 0.574 eV per atom